Density functional theory data (GGA-PBE) for a relaxed NaIrRu crystal.

The structure in extended XYZ format:
```
6
Lattice="-0.9271 7.0705 -3.1096 -5.0236 0.1642 -2.9960 -5.2470 -2.3969 0.9817" Properties=species:S:1:pos:R:3 pbc="T T T"
Na -2.8727 0.5654 -0.2900
Na -8.3250 4.2725 -4.8339
Ir -4.8988 1.3812 -2.6981
Ir -6.2989 3.4566 -2.4258
Ru -5.3252 4.9246 -4.2456
Ru -5.8725 -0.0867 -0.8783
```

Properties
Volume = 18.734 Å³ per atom
Calculated formation energy = 0.385 eV/atom
Symmetry = C2/c (15)
DFT total energy = -6.10 eV/atom